[1]
A plane-wave DFT calculation with SCAN was carried out for MnV3P4O16 at its PBEsol-relaxed geometry.

Unit cell a=4.783 b=5.741 c=9.880 alpha=90.00 beta=90.84 gamma=90.00
Element x y z (fractional)
Mn 0.000 0.000 0.000
V 0.085 0.500 0.455
V 0.502 0.500 0.947
V 0.585 0.000 0.495
P 0.143 0.000 0.319
P 0.473 0.000 0.814
P 0.652 0.500 0.631
P 0.941 0.500 0.128
O 0.212 0.000 0.171
O 0.252 0.500 0.099
O 0.293 0.208 0.399
O 0.293 0.792 0.399
O 0.333 0.212 0.889
O 0.333 0.788 0.889
O 0.337 0.500 0.608
O 0.391 0.000 0.664
O 0.728 0.500 0.781
O 0.780 0.296 0.055
O 0.780 0.704 0.055
O 0.788 0.000 0.832
O 0.797 0.293 0.552
O 0.797 0.707 0.552
O 0.830 0.000 0.343
O 0.895 0.500 0.281

Summary:
Crystal system = monoclinic
SG = Pm (6)
Total magnetization = 6.05 μB/f.u.
ΔE_f (raw) = -57.89 kcal/mol of atoms

[2]
A plane-wave DFT calculation with SCAN was carried out for MnVP4O14 at its PBEsol-relaxed geometry.

Unit cell a=4.757 b=6.895 c=7.828 alpha=90.17 beta=90.44 gamma=105.58
Element x y z (fractional)
Mn 0.000 0.000 0.000
V 0.564 0.540 0.500
P 0.026 0.377 0.742
P 0.166 0.775 0.313
P 0.389 0.767 0.821
P 0.554 0.159 0.232
O 0.061 0.786 0.130
O 0.180 0.902 0.817
O 0.211 0.543 0.873
O 0.223 0.359 0.592
O 0.351 0.625 0.324
O 0.363 0.169 0.075
O 0.369 0.993 0.362
O 0.496 0.751 0.639
O 0.629 0.350 0.340
O 0.629 0.824 0.954
O 0.768 0.451 0.681
O 0.836 0.106 0.189
O 0.917 0.730 0.440
O 0.918 0.187 0.846

Summary:
Crystal system = triclinic
SG = P1 (1)
Total magnetization = 4.00 μB/f.u.
ΔE_f (raw) = -55.22 kcal/mol of atoms

[3]
A plane-wave DFT calculation with SCAN was carried out for MnV3P6O24 at its PBEsol-relaxed geometry.

Unit cell a=8.614 b=8.614 c=8.614 alpha=57.48 beta=57.48 gamma=57.48
Element x y z (fractional)
Mn 0.000 0.000 0.000
V 0.288 0.288 0.288
V 0.505 0.505 0.505
V 0.783 0.783 0.783
P 0.113 0.679 0.390
P 0.176 0.620 0.892
P 0.390 0.113 0.679
P 0.620 0.892 0.176
P 0.679 0.390 0.113
P 0.892 0.176 0.620
O 0.011 0.647 0.848
O 0.093 0.176 0.454
O 0.124 0.841 0.189
O 0.133 0.485 0.400
O 0.162 0.813 0.877
O 0.176 0.454 0.093
O 0.189 0.124 0.841
O 0.276 0.644 0.444
O 0.375 0.553 0.736
O 0.400 0.133 0.485
O 0.444 0.276 0.644
O 0.454 0.093 0.176
O 0.485 0.400 0.133
O 0.551 0.914 0.739
O 0.553 0.736 0.375
O 0.644 0.444 0.276
O 0.647 0.848 0.011
O 0.736 0.375 0.553
O 0.739 0.551 0.914
O 0.813 0.877 0.162
O 0.841 0.189 0.124
O 0.848 0.011 0.647
O 0.877 0.162 0.813
O 0.914 0.739 0.551

Summary:
Crystal system = trigonal
SG = R3 (146)
Total magnetization = 4.02 μB/f.u.
ΔE_f (raw) = -55.51 kcal/mol of atoms

[4]
A plane-wave DFT calculation with SCAN was carried out for Mn2V3P6WO24 at its PBEsol-relaxed geometry.

Unit cell a=8.548 b=8.548 c=8.548 alpha=60.27 beta=60.27 gamma=60.27
Element x y z (fractional)
Mn 0.000 0.000 0.000
Mn 0.496 0.496 0.496
V 0.143 0.143 0.143
V 0.357 0.357 0.357
V 0.858 0.858 0.858
P 0.047 0.457 0.753
P 0.246 0.964 0.541
P 0.457 0.753 0.047
P 0.541 0.246 0.964
P 0.753 0.047 0.457
P 0.964 0.541 0.246
W 0.643 0.643 0.643
O 0.002 0.618 0.814
O 0.057 0.261 0.913
O 0.087 0.942 0.739
O 0.117 0.502 0.314
O 0.192 0.994 0.381
O 0.240 0.441 0.588
O 0.261 0.913 0.057
O 0.314 0.117 0.502
O 0.381 0.192 0.994
O 0.412 0.762 0.563
O 0.441 0.588 0.240
O 0.500 0.687 0.885
O 0.502 0.314 0.117
O 0.563 0.412 0.762
O 0.588 0.240 0.441
O 0.618 0.814 0.002
O 0.687 0.885 0.500
O 0.739 0.087 0.942
O 0.762 0.563 0.412
O 0.814 0.002 0.618
O 0.885 0.500 0.687
O 0.913 0.057 0.261
O 0.942 0.739 0.087
O 0.994 0.381 0.192

Summary:
Crystal system = trigonal
SG = R3 (146)
Total magnetization = 17.00 μB/f.u.
ΔE_f (raw) = -56.50 kcal/mol of atoms

[5]
A plane-wave DFT calculation with SCAN was carried out for Mn7P12WO48 at its PBEsol-relaxed geometry.

Unit cell a=8.157 b=8.400 c=11.431 alpha=90.16 beta=90.61 gamma=90.08
Element x y z (fractional)
Mn 0.000 0.000 0.000
Mn 0.001 0.061 0.505
Mn 0.005 0.563 0.763
Mn 0.010 0.497 0.274
Mn 0.499 0.563 0.502
Mn 0.506 0.060 0.769
Mn 0.507 0.000 0.270
P 0.133 0.651 0.033
P 0.143 0.915 0.742
P 0.223 0.780 0.397
P 0.286 0.280 0.377
P 0.355 0.409 0.732
P 0.365 0.130 0.028
P 0.649 0.913 0.535
P 0.650 0.654 0.253
P 0.728 0.786 0.889
P 0.793 0.276 0.871
P 0.859 0.149 0.238
P 0.863 0.414 0.527
W 0.503 0.499 0.007
O 0.024 0.552 0.112
O 0.026 0.959 0.843
O 0.073 0.866 0.448
O 0.093 0.747 0.700
O 0.111 0.606 0.905
O 0.116 0.034 0.642
O 0.129 0.832 0.051
O 0.161 0.656 0.307
O 0.180 0.454 0.699
O 0.184 0.162 0.449
O 0.185 0.136 0.989
O 0.187 0.352 0.273
O 0.317 0.607 0.063
O 0.322 0.707 0.500
O 0.325 0.918 0.779
O 0.326 0.899 0.327
O 0.350 0.404 0.465
O 0.369 0.228 0.726
O 0.389 0.021 0.132
O 0.393 0.461 0.862
O 0.415 0.305 0.065
O 0.435 0.195 0.326
O 0.479 0.504 0.659
O 0.485 0.088 0.930
O 0.525 0.608 0.346
O 0.531 0.014 0.610
O 0.581 0.697 0.948
O 0.602 0.817 0.203
O 0.615 0.534 0.149
O 0.621 0.954 0.406
O 0.630 0.731 0.553
O 0.658 0.900 0.798
O 0.679 0.112 0.206
O 0.684 0.424 0.486
O 0.685 0.206 0.773
O 0.686 0.395 0.945
O 0.820 0.658 0.823
O 0.821 0.858 0.995
O 0.828 0.950 0.568
O 0.829 0.641 0.288
O 0.853 0.160 0.965
O 0.874 0.332 0.224
O 0.887 0.533 0.628
O 0.892 0.102 0.366
O 0.909 0.245 0.568
O 0.938 0.365 0.820
O 0.975 0.055 0.158
O 0.987 0.457 0.430

Summary:
Crystal system = triclinic
SG = P1 (1)
Total magnetization = 18.99 μB/f.u.
ΔE_f (raw) = -51.19 kcal/mol of atoms

[6]
A plane-wave DFT calculation with SCAN was carried out for Mn7PbO12 at its PBEsol-relaxed geometry.

Unit cell a=6.393 b=6.393 c=6.393 alpha=109.47 beta=109.47 gamma=109.47
Element x y z (fractional)
Mn 0.000 0.000 0.500
Mn 0.000 0.500 0.000
Mn 0.000 0.500 0.500
Mn 0.500 0.000 0.000
Mn 0.500 0.000 0.500
Mn 0.500 0.500 0.000
Mn 0.500 0.500 0.500
Pb 0.000 0.000 0.000
O 0.132 0.819 0.314
O 0.181 0.314 0.495
O 0.181 0.686 0.868
O 0.314 0.132 0.819
O 0.314 0.495 0.181
O 0.495 0.181 0.314
O 0.505 0.819 0.686
O 0.686 0.505 0.819
O 0.686 0.868 0.181
O 0.819 0.314 0.132
O 0.819 0.686 0.505
O 0.868 0.181 0.686

Summary:
Crystal system = cubic
SG = Im-3 (204)
Total magnetization = 27.00 μB/f.u.
ΔE_f (raw) = -47.52 kcal/mol of atoms

[7]
A plane-wave DFT calculation with SCAN was carried out for Mn8PbO16 at its PBEsol-relaxed geometry.

Unit cell a=5.635 b=6.835 c=7.059 alpha=90.49 beta=101.53 gamma=101.91
Element x y z (fractional)
Mn 0.000 0.000 0.000
Mn 0.086 0.694 0.650
Mn 0.240 0.669 0.291
Mn 0.326 0.363 0.941
Mn 0.498 0.999 0.993
Mn 0.585 0.688 0.651
Mn 0.741 0.675 0.290
Mn 0.828 0.364 0.948
Pb 0.664 0.182 0.470
O 0.003 0.209 0.821
O 0.008 0.824 0.200
O 0.144 0.495 0.073
O 0.182 0.868 0.867
O 0.318 0.539 0.741
O 0.322 0.154 0.120
O 0.344 0.832 0.529
O 0.489 0.529 0.412
O 0.506 0.830 0.202
O 0.511 0.210 0.817
O 0.640 0.495 0.075
O 0.685 0.868 0.866
O 0.815 0.153 0.124
O 0.820 0.533 0.738
O 0.837 0.834 0.529
O 0.982 0.531 0.412

Summary:
Crystal system = triclinic
SG = P1 (1)
Total magnetization = 22.00 μB/f.u.
ΔE_f (raw) = -48.19 kcal/mol of atoms

[8]
A plane-wave DFT calculation with SCAN was carried out for Mn3PbO at its PBEsol-relaxed geometry.

Unit cell a=4.113 b=4.113 c=4.113 alpha=90.00 beta=90.00 gamma=90.00
Element x y z (fractional)
Mn 0.000 0.000 0.500
Mn 0.000 0.500 0.000
Mn 0.500 0.000 0.000
Pb 0.500 0.500 0.500
O 0.000 0.000 0.000

Summary:
Crystal system = cubic
SG = Pm-3m (221)
Total magnetization = 12.21 μB/f.u.
ΔE_f (raw) = -11.30 kcal/mol of atoms